Entry from the Alexandria database: BSeI after structural relaxation (GGA-PBE).

Calculated values
Total magnetic moment (μB/f.u.): 0.0
Energy relative to the elements, uncorrected (meV/atom): 70
Energy relative to the lowest polymorph listed for this composition (meV/atom): 0.0
Density (g/cm3): 3.7
Fermi-level density of states (states/eV per atom): 1.09

```
BSeI
1.0
3.114 0.000 0.000
0.014 7.923 0.000
0.013 3.878 7.877
B Se I
2 2 2
direct
0.001 0.396 0.498
0.999 0.604 0.502
0.499 0.751 0.505
0.501 0.249 0.495
0.000 0.254 0.989
0.000 0.746 0.011
```